# 1
# PBE YCd2Pb, optimized geometry
# * DOS(E_F): 0.38 states/eV per atom
# * formation energy from the elements: -340 meV per atom
data_YCd2Pb
_cell_length_a 4.529
_cell_length_b 4.529
_cell_length_c 4.913
_cell_angle_alpha 90.00
_cell_angle_beta 90.00
_cell_angle_gamma 90.00
_space_group_name_H-M_alt 'P 4/m m m'
_space_group_IT_number 123
_space_group_name_Hall '-P 4 2'
loop_
_atom_site_label
_atom_site_fract_x
_atom_site_fract_y
_atom_site_fract_z
_atom_site_occupancy
Y1 0.000 0.000 0.000 1
Cd1 0.000 0.500 0.500 1
Pb1 0.500 0.500 0.000 1

***

# 2
# PBE Pm4Ni3Au, optimized geometry
# * DOS(E_F): 0.79 states/eV per atom
# * formation energy from the elements: -446 meV per atom
data_Pm4Ni3Au
_cell_length_a 3.849
_cell_length_b 4.503
_cell_length_c 10.506
_cell_angle_alpha 90.00
_cell_angle_beta 90.00
_cell_angle_gamma 90.00
_space_group_name_H-M_alt 'P m m 2'
_space_group_IT_number 25
_space_group_name_Hall 'P 2 -2'
loop_
_atom_site_label
_atom_site_fract_x
_atom_site_fract_y
_atom_site_fract_z
_atom_site_occupancy
Pm1 0.000 0.000 0.000 1
Pm2 0.000 0.500 0.264 1
Pm3 0.500 0.000 0.475 1
Pm4 0.500 0.500 0.770 1
Ni1 0.000 0.500 0.545 1
Ni2 0.500 0.000 0.199 1
Ni3 0.500 0.500 0.057 1
Au1 0.000 0.000 0.702 1

***

# 3
# PBE UFe4Ge2, optimized geometry
# * DOS(E_F): 1.05 states/eV per atom
# * excess energy over the best structure of this formula in the dataset: 0.095 eV per atom
# * formation energy from the elements: -76 meV per atom
data_UFe4Ge2
_cell_length_a 3.614
_cell_length_b 3.614
_cell_length_c 15.638
_cell_angle_alpha 90.00
_cell_angle_beta 90.00
_cell_angle_gamma 90.00
_space_group_name_H-M_alt 'I 4/m m m'
_space_group_IT_number 139
_space_group_name_Hall '-I 4 2'
loop_
_atom_site_label
_atom_site_fract_x
_atom_site_fract_y
_atom_site_fract_z
_atom_site_occupancy
U1 0.000 0.000 0.000 1
Fe1 0.000 0.000 0.135 1
Fe2 0.000 0.500 0.250 1
Ge1 0.000 0.000 0.367 1

***

# 4
# PBE TiPbS6O21, optimized geometry
# * DOS(E_F): 0.00 states/eV per atom
# * E_form (uncorrected): -1.420 eV/atom
data_TiPbS6O21
_cell_length_a 7.264
_cell_length_b 13.123
_cell_length_c 18.192
_cell_angle_alpha 90.00
_cell_angle_beta 91.91
_cell_angle_gamma 90.00
_space_group_name_H-M_alt 'P 1 21/c 1'
_space_group_IT_number 14
_space_group_name_Hall '-P 2ybc'
loop_
_atom_site_label
_atom_site_fract_x
_atom_site_fract_y
_atom_site_fract_z
_atom_site_occupancy
Ti1 0.210 0.129 0.248 1
Pb1 0.462 0.749 0.488 1
S1 0.065 0.198 0.410 1
S2 0.085 0.548 0.377 1
S3 0.244 0.149 0.661 1
S4 0.296 0.021 0.406 1
S5 0.304 0.006 0.098 1
S6 0.430 0.735 0.773 1
O1 0.013 0.579 0.300 1
O2 0.076 0.195 0.327 1
O3 0.085 0.525 0.594 1
O4 0.100 0.634 0.426 1
O5 0.109 0.077 0.434 1
O6 0.119 0.712 0.067 1
O7 0.130 0.066 0.680 1
O8 0.171 0.248 0.183 1
O9 0.211 0.240 0.942 1
O10 0.235 0.021 0.872 1
O11 0.271 0.026 0.323 1
O12 0.278 0.581 0.931 1
O13 0.279 0.696 0.730 1
O14 0.304 0.154 0.585 1
O15 0.332 0.090 0.048 1
O16 0.336 0.040 0.177 1
O17 0.391 0.589 0.583 1
O18 0.399 0.722 0.345 1
O19 0.431 0.136 0.714 1
O20 0.451 0.193 0.271 1
O21 0.453 0.081 0.431 1

***

# 5
# PBE Nd2GePN5, optimized geometry
# * E_form (uncorrected): -0.645 eV/atom
data_Nd2GePN5
_cell_length_a 3.107
_cell_length_b 14.918
_cell_length_c 9.968
_cell_angle_alpha 90.00
_cell_angle_beta 90.00
_cell_angle_gamma 90.00
_space_group_name_H-M_alt 'C m c 21'
_space_group_IT_number 36
_space_group_name_Hall 'C 2c -2'
loop_
_atom_site_label
_atom_site_fract_x
_atom_site_fract_y
_atom_site_fract_z
_atom_site_occupancy
Nd1 0.000 0.119 0.000 1
Nd2 0.000 0.123 0.634 1
Ge1 0.000 0.218 0.354 1
P1 0.000 0.446 0.760 1
N1 0.000 0.029 0.342 1
N2 0.000 0.291 0.986 1
N3 0.000 0.335 0.728 1
N4 0.000 0.341 0.321 1
N5 0.000 0.495 0.615 1

***

# 6
# PBE TaV, optimized geometry
# * DOS(E_F): 1.31 states/eV per atom
# * excess energy over the best structure of this formula in the dataset: 0.542 eV per atom
# * formation energy from the elements: 569 meV per atom
data_TaV
_cell_length_a 6.784
_cell_length_b 8.109
_cell_length_c 9.810
_cell_angle_alpha 90.00
_cell_angle_beta 90.00
_cell_angle_gamma 90.00
_space_group_name_H-M_alt 'F d d d'
_space_group_IT_number 70
loop_
_space_group_symop_operation_xyz
'x,y,z'
'-x,-y,-z'
'-x+1/4,-y+1/4,z'
'x+1/4,y+1/4,-z'
'x,-y+1/4,-z+1/4'
'-x,y+1/4,z+1/4'
'-x+1/4,y,-z+1/4'
'x+1/4,-y,z+1/4'
'x,y+1/2,z+1/2'
'-x,-y+1/2,-z+1/2'
'-x+1/4,-y+3/4,z+1/2'
'x+1/4,y+3/4,-z+1/2'
'x,-y+3/4,-z+3/4'
'-x,y+3/4,z+3/4'
'-x+1/4,y+1/2,-z+3/4'
'x+1/4,-y+1/2,z+3/4'
'x+1/2,y,z+1/2'
'-x+1/2,-y,-z+1/2'
'-x+3/4,-y+1/4,z+1/2'
'x+3/4,y+1/4,-z+1/2'
'x+1/2,-y+1/4,-z+3/4'
'-x+1/2,y+1/4,z+3/4'
'-x+3/4,y,-z+3/4'
'x+3/4,-y,z+3/4'
'x+1/2,y+1/2,z'
'-x+1/2,-y+1/2,-z'
'-x+3/4,-y+3/4,z'
'x+3/4,y+3/4,-z'
'x+1/2,-y+3/4,-z+1/4'
'-x+1/2,y+3/4,z+1/4'
'-x+3/4,y+1/2,-z+1/4'
'x+3/4,-y+1/2,z+1/4'
loop_
_atom_site_label
_atom_site_fract_x
_atom_site_fract_y
_atom_site_fract_z
_atom_site_occupancy
Ta1 0.125 0.312 0.125 1
V1 0.045 0.375 0.875 1

***

# 7
# PBE CdReBr2, optimized geometry
# * DOS(E_F): 0.59 states/eV per atom
# * excess energy over the best structure of this formula in the dataset: 0.692 eV per atom
# * E_form (uncorrected): 0.947 eV/atom
data_CdReBr2
_cell_length_a 3.248
_cell_length_b 4.621
_cell_length_c 5.987
_cell_angle_alpha 90.00
_cell_angle_beta 90.00
_cell_angle_gamma 90.00
_space_group_name_H-M_alt 'P m m m'
_space_group_IT_number 47
_space_group_name_Hall '-P 2 2'
loop_
_atom_site_label
_atom_site_fract_x
_atom_site_fract_y
_atom_site_fract_z
_atom_site_occupancy
Cd1 0.000 0.000 0.000 1
Re1 0.500 0.000 0.500 1
Br1 0.000 0.500 0.500 1
Br2 0.500 0.500 0.000 1

***

# 8
# PBE In2AgSe, optimized geometry
# * DOS(E_F): 0.74 states/eV per atom
# * E_form (uncorrected): 0.094 eV/atom
data_In2AgSe
_cell_length_a 7.309
_cell_length_b 7.309
_cell_length_c 7.309
_cell_angle_alpha 90.00
_cell_angle_beta 90.00
_cell_angle_gamma 90.00
_space_group_name_H-M_alt 'F -4 3 m'
_space_group_IT_number 216
_space_group_name_Hall 'F -4 2 3'
loop_
_atom_site_label
_atom_site_fract_x
_atom_site_fract_y
_atom_site_fract_z
_atom_site_occupancy
In1 0.000 0.000 0.000 1
In2 0.250 0.250 0.250 1
Ag1 0.000 0.000 0.500 1
Se1 0.250 0.250 0.750 1

***

# 9
# PBE Ba2CaCu2, optimized geometry
# * DOS(E_F): 0.37 states/eV per atom
# * excess energy over the best structure of this formula in the dataset: 0.000 eV per atom
# * formation energy from the elements: -10 meV per atom
data_Ba2CaCu2
_cell_length_a 8.458
_cell_length_b 8.458
_cell_length_c 4.727
_cell_angle_alpha 90.00
_cell_angle_beta 90.00
_cell_angle_gamma 90.00
_space_group_name_H-M_alt 'P 4/m b m'
_space_group_IT_number 127
_space_group_name_Hall '-P 4 2ab'
loop_
_atom_site_label
_atom_site_fract_x
_atom_site_fract_y
_atom_site_fract_z
_atom_site_occupancy
Ba1 0.173 0.327 0.000 1
Ca1 0.000 0.000 0.500 1
Cu1 0.109 0.609 0.500 1

***

# 10
# PBE Tb2Pm2Dy2Er, optimized geometry
# * DOS(E_F): 2.57 states/eV per atom
# * formation energy from the elements: 143 meV per atom
data_Tb2Pm2Dy2Er
_cell_length_a 5.6866
_cell_length_b 5.6866
_cell_length_c 24.4647
_cell_angle_alpha 90.00
_cell_angle_beta 90.00
_cell_angle_gamma 120.00
_space_group_name_H-M_alt 'R -3 m'
_space_group_IT_number 166
_space_group_name_Hall '-R 3 2"'
loop_
_atom_site_label
_atom_site_fract_x
_atom_site_fract_y
_atom_site_fract_z
_atom_site_occupancy
Tb1 0.0000 0.0000 0.2161 1
Pm1 0.0000 0.0000 0.3613 1
Dy1 0.0000 0.0000 0.0741 1
Er1 0.0000 0.0000 0.5000 1

***

# 11
# PBE RbInSN2, optimized geometry
# * DOS(E_F): 0.62 states/eV per atom
# * excess energy over the best structure of this formula in the dataset: 0.654 eV per atom
# * E_form (uncorrected): 1.579 eV/atom
data_RbInSN2
_cell_length_a 4.567
_cell_length_b 4.567
_cell_length_c 4.916
_cell_angle_alpha 90.00
_cell_angle_beta 90.00
_cell_angle_gamma 90.00
_space_group_name_H-M_alt 'P 4/m m m'
_space_group_IT_number 123
_space_group_name_Hall '-P 4 2'
loop_
_atom_site_label
_atom_site_fract_x
_atom_site_fract_y
_atom_site_fract_z
_atom_site_occupancy
Rb1 0.000 0.000 0.000 1
In1 0.500 0.500 0.000 1
S1 0.500 0.500 0.500 1
N1 0.000 0.500 0.500 1

***

# 12
# PBE Tl2SbIr, optimized geometry
# * DOS(E_F): 0.64 states/eV per atom
# * excess energy over the best structure of this formula in the dataset: 0.448 eV per atom
# * E_form (uncorrected): 0.532 eV/atom
data_Tl2SbIr
_cell_length_a 5.748
_cell_length_b 11.178
_cell_length_c 4.148
_cell_angle_alpha 90.00
_cell_angle_beta 133.62
_cell_angle_gamma 90.00
_space_group_name_H-M_alt 'C 1 2/m 1'
_space_group_IT_number 12
_space_group_name_Hall '-C 2y'
loop_
_atom_site_label
_atom_site_fract_x
_atom_site_fract_y
_atom_site_fract_z
_atom_site_occupancy
Tl1 0.250 0.250 0.000 1
Sb1 0.000 0.000 0.500 1
Ir1 0.000 0.500 0.500 1